Entry 1
First-principles (PBE-GGA) data for a geometry-optimized HgRh2Br structure, as listed in the Alexandria database.

Calculated values
The theoretical density comes out at 11.122 g/cm3. As for the density of states at the Fermi level: 4.5 states/eV/cell. The calculation puts the calculated volume at 72.60 Å³/cell.

abc: 3.095 3.095 8.897
angles: 90.00 90.00 121.60
Sites, in units of the cell vectors:
Rh  0.000  0.000  0.489
Rh  0.000  0.000  0.011
Hg  0.500  0.500  0.750
Br  0.500  0.500  0.250

---

Entry 2
First-principles (PBE-GGA) data for a geometry-optimized HgRh2Br structure, as listed in the Alexandria database.

Calculated values
The theoretical density comes out at 9.377 g/cm3. As for the density of states at the Fermi level: 14.8 states/eV/cell. The calculation puts the calculated volume at 172.24 Å³/cell.

abc: 4.584 4.584 8.813
angles: 74.93 74.93 90.00
Sites, in units of the cell vectors:
Rh  0.375  0.471  0.750
Rh  0.529  0.125  0.250
Rh  0.221  0.625  0.250
Rh  0.875  0.779  0.750
Br  0.500  0.500  0.000
Br  0.250  0.750  0.500
Hg  0.750  0.250  0.500
Hg  0.000  0.000  0.000

---

Entry 3
First-principles (PBE-GGA) data for a geometry-optimized HgRh2Br structure, as listed in the Alexandria database.

Calculated values
The theoretical density comes out at 10.875 g/cm3. As for the density of states at the Fermi level: 4.5 states/eV/cell. The calculation puts the calculated volume at 74.25 Å³/cell.

abc: 4.718 4.718 4.718
angles: 60.00 60.00 60.00
Last column: magnetic moment on the atom in μB.
Sites, in units of the cell vectors:
Br  0.500  0.500  0.500  0.11
Rh  0.250  0.250  0.250  1.15
Rh  0.000  0.000  0.000  0.91
Hg  0.750  0.750  0.750  0.02

---

entry 1 is preferred energetically. Next in line: 3.0 kJ/mol of atoms higher.

---

Entry 1
First-principles (PBE-GGA) data for a geometry-optimized HgRhBr2 structure, as listed in the Alexandria database.

Calculated values
The theoretical density comes out at 6.828 g/cm3. As for the density of states at the Fermi level: 1.5 states/eV/cell. The calculation puts the calculated volume at 112.67 Å³/cell.

abc: 7.109 7.109 7.109
angles: 152.62 136.75 51.95
Sites, in units of the cell vectors:
Hg  0.750  0.250  0.500
Br  0.397  0.397  0.000
Br  0.103  0.103  0.000
Rh  0.250  0.750  0.500

---

Entry 2
First-principles (PBE-GGA) data for a geometry-optimized HgRhBr2 structure, as listed in the Alexandria database.

Calculated values
The theoretical density comes out at 7.679 g/cm3. As for the density of states at the Fermi level: 6.0 states/eV/cell. The calculation puts the calculated volume at 100.19 Å³/cell.

abc: 3.788 6.544 4.041
angles: 90.00 90.00 90.00
Last column: magnetic moment on the atom in μB.
Sites, in units of the cell vectors:
Hg  0.500  0.000  0.500  0.00
Rh  0.000  0.500  0.500  0.96
Br  0.500  0.500  0.000  0.06
Br  0.000  0.000  0.000  0.01

---

Entry 3
First-principles (PBE-GGA) data for a geometry-optimized HgRhBr2 structure, as listed in the Alexandria database.

Calculated values
The theoretical density comes out at 5.956 g/cm3. As for the density of states at the Fermi level: 3.0 states/eV/cell. The calculation puts the calculated volume at 129.17 Å³/cell.

abc: 3.949 3.949 10.170
angles: 90.00 90.00 125.46
Last column: magnetic moment on the atom in μB.
Sites, in units of the cell vectors:
Hg  0.500  0.500  0.250  0.01
Br  0.000  0.000  0.585  0.07
Br  0.000  0.000  0.915  0.07
Rh  0.500  0.500  0.750  0.77

---

Entry 4
First-principles (PBE-GGA) data for a geometry-optimized HgRhBr2 structure, as listed in the Alexandria database.

Calculated values
The theoretical density comes out at 8.562 g/cm3. As for the density of states at the Fermi level: 6.6 states/eV/cell. The calculation puts the calculated volume at 89.85 Å³/cell.

abc: 5.027 5.027 5.027
angles: 60.00 60.00 60.00
Last column: magnetic moment on the atom in μB.
Sites, in units of the cell vectors:
Rh  0.250  0.250  0.250  0.98
Br  0.000  0.000  0.000  0.18
Br  0.750  0.750  0.750  0.10
Hg  0.500  0.500  0.500  -0.02

---

entry 1 is preferred energetically. Next in line: 3.8 kJ/mol of atoms higher.

---

Entry 1
First-principles (PBE-GGA) data for a geometry-optimized HgRhBr2 structure, as listed in the Alexandria database.

Calculated values
The theoretical density comes out at 6.609 g/cm3. As for the density of states at the Fermi level: 1.2 states/eV/cell. The calculation puts the calculated volume at 116.41 Å³/cell.

abc: 6.046 6.046 6.046
angles: 145.53 107.07 83.23
Last column: magnetic moment on the atom in μB.
Sites, in units of the cell vectors:
Rh  0.249  0.749  0.500  0.83
Hg  0.475  0.475  0.000  -0.01
Br  0.065  0.065  0.000  0.01
Br  0.712  0.212  0.500  0.04

---

Entry 2
First-principles (PBE-GGA) data for a geometry-optimized HgRhBr2 structure, as listed in the Alexandria database.

Calculated values
The theoretical density comes out at 6.521 g/cm3. As for the density of states at the Fermi level: 1.3 states/eV/cell. The calculation puts the calculated volume at 117.98 Å³/cell.

abc: 5.633 5.633 6.929
angles: 65.70 65.70 36.54
Sites, in units of the cell vectors:
Hg  0.436  0.436  0.625
Br  0.105  0.105  0.909
Br  0.265  0.265  0.341
Rh  0.694  0.694  0.625

---

Entry 3
First-principles (PBE-GGA) data for a geometry-optimized HgRhBr2 structure, as listed in the Alexandria database.

Calculated values
The theoretical density comes out at 7.180 g/cm3. As for the density of states at the Fermi level: 4.8 states/eV/cell. The calculation puts the calculated volume at 107.16 Å³/cell.

abc: 3.320 3.318 9.728
angles: 90.00 90.00 90.00
Last column: magnetic moment on the atom in μB.
Sites, in units of the cell vectors:
Br  0.000  0.000  0.582  0.29
Br  0.000  0.000  0.918  0.29
Rh  0.500  0.500  0.750  1.75
Hg  0.500  0.500  0.250  0.02

---

Entry 4
First-principles (PBE-GGA) data for a geometry-optimized HgRhBr2 structure, as listed in the Alexandria database.

Calculated values
The theoretical density comes out at 6.605 g/cm3. As for the density of states at the Fermi level: 1.5 states/eV/cell. The calculation puts the calculated volume at 116.48 Å³/cell.

abc: 3.600 3.319 9.749
angles: 89.67 90.00 90.00
Sites, in units of the cell vectors:
Br  0.000  0.753  0.579
Br  0.000  0.747  0.921
Hg  0.500  0.250  0.250
Rh  0.500  0.750  0.750

---

entry 2 is preferred energetically. Next in line: 7.6 kJ/mol of atoms higher.

---

Entry 1
First-principles (PBE-GGA) data for a geometry-optimized HgRhBr2 structure, as listed in the Alexandria database.

Calculated values
The theoretical density comes out at 7.553 g/cm3. As for the density of states at the Fermi level: 5.1 states/eV/cell. The calculation puts the calculated volume at 101.85 Å³/cell.

abc: 11.639 11.639 11.639
angles: 15.80 15.80 15.80
Sites, in units of the cell vectors:
Hg  0.500  0.500  0.500
Br  0.068  0.068  0.068
Br  0.932  0.932  0.932
Rh  0.000  0.000  0.000

---

Entry 2
First-principles (PBE-GGA) data for a geometry-optimized HgRhBr2 structure, as listed in the Alexandria database.

Calculated values
The theoretical density comes out at 7.727 g/cm3. As for the density of states at the Fermi level: 4.8 states/eV/cell. The calculation puts the calculated volume at 99.56 Å³/cell.

abc: 5.334 5.336 4.037
angles: 70.64 70.62 95.31
Last column: magnetic moment on the atom in μB.
Sites, in units of the cell vectors:
Hg  0.500  0.000  0.500  -0.01
Rh  0.000  0.500  0.500  0.78
Br  0.000  0.000  0.000  0.02
Br  0.500  0.500  0.000  0.02

---

entry 1 is preferred energetically. Next in line: 13.0 kJ/mol of atoms higher.

---

Entry 1
First-principles (PBE-GGA) data for a geometry-optimized HgRhBr2 structure, as listed in the Alexandria database.

Calculated values
The theoretical density comes out at 7.571 g/cm3. As for the density of states at the Fermi level: 6.1 states/eV/cell. The calculation puts the calculated volume at 101.61 Å³/cell.

abc: 7.180 7.180 7.180
angles: 148.35 148.35 45.38
Last column: magnetic moment on the atom in μB.
Sites, in units of the cell vectors:
Rh  0.750  0.250  0.500  1.03
Br  0.000  0.000  0.000  0.01
Br  0.250  0.750  0.500  0.07
Hg  0.500  0.500  0.000  0.01

---

Entry 2
First-principles (PBE-GGA) data for a geometry-optimized HgRhBr2 structure, as listed in the Alexandria database.

Calculated values
The theoretical density comes out at 7.276 g/cm3. As for the density of states at the Fermi level: 3.8 states/eV/cell. The calculation puts the calculated volume at 105.74 Å³/cell.

abc: 3.707 3.707 8.900
angles: 90.00 90.00 120.19
Last column: magnetic moment on the atom in μB.
Sites, in units of the cell vectors:
Br  0.500  0.500  0.301  -0.01
Br  0.000  0.000  0.928  0.07
Rh  0.500  0.500  0.747  0.62
Hg  0.000  0.000  0.524  -0.01

---

entry 2 is preferred energetically. Next in line: 32.0 kJ/mol of atoms higher.

---

Entry 1
First-principles (PBE-GGA) data for a geometry-optimized HgRhBr2 structure, as listed in the Alexandria database.

Calculated values
The theoretical density comes out at 7.162 g/cm3. As for the density of states at the Fermi level: 3.0 states/eV/cell. The calculation puts the calculated volume at 107.42 Å³/cell.

abc: 3.441 4.343 7.498
angles: 73.47 90.00 90.00
Last column: magnetic moment on the atom in μB.
Sites, in units of the cell vectors:
Hg  0.000  0.516  0.592  0.00
Br  0.500  0.149  0.321  0.01
Br  0.000  0.854  0.923  0.03
Rh  0.500  0.981  0.664  0.14

---

Entry 2
First-principles (PBE-GGA) data for a geometry-optimized HgRhBr2 structure, as listed in the Alexandria database.

Calculated values
The theoretical density comes out at 8.463 g/cm3. As for the density of states at the Fermi level: 5.0 states/eV/cell. The calculation puts the calculated volume at 90.90 Å³/cell.

abc: 5.081 5.081 3.535
angles: 90.00 90.00 94.95
Last column: magnetic moment on the atom in μB.
Sites, in units of the cell vectors:
Br  0.000  0.000  0.000  0.13
Br  0.500  0.500  0.000  0.13
Hg  0.500  0.000  0.500  0.04
Rh  0.000  0.500  0.500  1.49

---

Entry 3
First-principles (PBE-GGA) data for a geometry-optimized HgRhBr2 structure, as listed in the Alexandria database.

Calculated values
The theoretical density comes out at 6.471 g/cm3. As for the density of states at the Fermi level: 3.5 states/eV/cell. The calculation puts the calculated volume at 118.89 Å³/cell.

abc: 9.877 9.877 9.877
angles: 22.03 22.03 22.03
Last column: magnetic moment on the atom in μB.
Sites, in units of the cell vectors:
Br  0.035  0.035  0.035  0.09
Br  0.465  0.465  0.465  0.09
Hg  0.250  0.250  0.250  0.01
Rh  0.750  0.750  0.750  0.69

---

entry 3 is preferred energetically. Next in line: 2.1 kJ/mol of atoms higher.